[1]
## YAuN2O (PBE-GGA)

Data for a relaxed YAuN2O crystal.

Cell lengths 4.054, 4.054, 4.085 Å; angles 90.00, 90.00, 90.00 degrees
Atoms (fractional coordinates):
N 0.000 0.500 0.000
Y 0.500 0.500 0.500
O 0.000 0.000 0.500
N 0.500 0.000 0.000
Au 0.000 0.000 0.000

Crystal system ... tetragonal
Energy relative to the elements, uncorrected ... 326 meV/atom
Space group ... P4/mmm (123)

---

[2]
## Pm6Pr2Ho (PBE-GGA)

Data for a relaxed Pm6Pr2Ho crystal.

Cell lengths 6.381, 11.019, 11.019 Å; angles 86.61, 64.56, 64.56 degrees
Atoms (fractional coordinates):
Pm 0.100 0.566 0.317
Pr 0.700 0.772 0.629
Pm 0.277 0.847 0.940
Pm 0.900 0.434 0.683
Pm 0.223 0.060 0.153
Pm 0.824 0.980 0.423
Pm 0.777 0.940 0.847
Pr 0.200 0.629 0.772
Pr 0.300 0.228 0.371
Ho 0.750 0.825 0.175
Pm 0.176 0.020 0.577
Ho 0.250 0.175 0.825
Pm 0.400 0.683 0.434
Pm 0.600 0.317 0.566
Pm 0.723 0.153 0.060
Pr 0.800 0.371 0.228
Pm 0.324 0.423 0.980
Pm 0.676 0.577 0.020

Crystal system ... monoclinic
Excess energy over the best structure of this formula in the dataset ... 0.036 eV per atom
ΔE_f ... 214 meV per atom
Space group ... C2/c (15)